Entry 1:
# KBIr (PBE, relaxed)
# * crystal system: cubic
# * E_tot: -31.8 eV for the cell shown
# * ρ: 5.69 Mg/m³
# * magnetic moment: 0.97 μB per formula unit
data_KBIr
_space_group_name_H-M_alt 'F -4 3 m'
_space_group_IT_number 216
_space_group_name_Hall 'F -4 2 3'
_cell_length_a 6.5639
_cell_length_b 6.5639
_cell_length_c 6.5639
_cell_angle_alpha 90.00
_cell_angle_beta 90.00
_cell_angle_gamma 90.00
loop_
_atom_site_label
_atom_site_type_symbol
_atom_site_fract_x
_atom_site_fract_y
_atom_site_fract_z
K1 K 0.0000 0.0000 0.0000
B1 B 0.2500 0.2500 0.7500
Ir1 Ir 0.2500 0.2500 0.2500

---

Entry 2:
# ZrCuNiB (PBE, relaxed)
# * crystal system: cubic
# * E_tot: -98.0 eV for the cell shown
# * ρ: 7.40 Mg/m³
# * magnetic moment: 0.00 μB per formula unit
data_ZrCuNiB
_space_group_name_H-M_alt 'F -4 3 m'
_space_group_IT_number 216
_space_group_name_Hall 'F -4 2 3'
_cell_length_a 5.8596
_cell_length_b 5.8596
_cell_length_c 5.8596
_cell_angle_alpha 90.00
_cell_angle_beta 90.00
_cell_angle_gamma 90.00
loop_
_atom_site_label
_atom_site_type_symbol
_atom_site_fract_x
_atom_site_fract_y
_atom_site_fract_z
Zr1 Zr 0.0000 0.0000 0.0000
Cu1 Cu 0.2500 0.2500 0.2500
Ni1 Ni 0.0000 0.0000 0.5000
B1 B 0.2500 0.2500 0.7500

---

Look up the magnetic moment of the second one.
0.00 μB per formula unit